[1]
# TcAsRh PBEsol relaxed
data_TcAsRh
_chemical_formula_sum 'Tc1 As1 Rh1'
_space_group_name_H-M_alt 'P 1'
_space_group_IT_number 1
_cell_length_a 2.868
_cell_length_b 3.898
_cell_length_c 4.516
_cell_angle_alpha 115.57
_cell_angle_beta 108.51
_cell_angle_gamma 90.00
loop_
_space_group_symop_operation_xyz
'x,y,z'
loop_
_atom_site_label
_atom_site_fract_x
_atom_site_fract_y
_atom_site_fract_z
Rh1 0.674 0.674 0.347
Tc1 0.327 0.327 0.653
As1 0.000 0.000 0.999
# total moment	0.00	μB per formula unit
# D(E_F)	2.94	states/eV/cell
# relative energy among the computed polymorphs	104	meV/atom
# electronic total energy	-8.09	eV/atom



[2]
# MnFe2CoAu PBEsol relaxed
data_MnFe2CoAu
_chemical_formula_sum 'Mn1 Fe2 Co1 Au1'
_space_group_name_H-M_alt 'P 1'
_space_group_IT_number 1
_cell_length_a 4.202
_cell_length_b 4.202
_cell_length_c 4.710
_cell_angle_alpha 90.00
_cell_angle_beta 90.00
_cell_angle_gamma 90.00
loop_
_space_group_symop_operation_xyz
'x,y,z'
loop_
_atom_site_label
_atom_site_fract_x
_atom_site_fract_y
_atom_site_fract_z
Co1 0.000 0.000 0.000
Mn1 0.500 0.500 0.500
Au1 0.000 0.000 0.500
Fe1 0.000 0.500 0.000
Fe2 0.500 0.000 0.000
# total moment	11.74	μB per formula unit
# D(E_F)	5.52	states/eV/cell
# electronic total energy	-6.75	eV/atom